<P>
KZrCu3Te4 | PBE-GGA | optimized geometry

a b c (Å): 6.602 6.602 6.602
angles (deg): 90.00 90.00 90.00
Sites, in units of the cell vectors:
1 K 0.000 0.000 0.000
2 Zr 0.500 0.500 0.500
3 Cu 0.000 0.500 0.500
4 Cu 0.500 0.000 0.500
5 Cu 0.500 0.500 0.000
6 Te 0.266 0.266 0.266
7 Te 0.266 0.734 0.734
8 Te 0.734 0.266 0.734
9 Te 0.734 0.734 0.266

ρ (g/cm³): 4.80
Calculated volume (A^3/atom): 32.0


<Q>
KZrCu3Te4 | PBE-GGA | optimized geometry

a b c (Å): 6.198 8.210 10.616
angles (deg): 90.00 106.38 90.00
Sites, in units of the cell vectors:
1 K 0.184 0.250 0.390
2 K 0.816 0.750 0.610
3 Zr 0.142 0.250 0.789
4 Zr 0.858 0.750 0.211
5 Cu 0.288 0.510 0.998
6 Cu 0.288 0.990 0.998
7 Cu 0.342 0.750 0.189
8 Cu 0.658 0.250 0.811
9 Cu 0.712 0.010 0.002
10 Cu 0.712 0.490 0.002
11 Te 0.026 0.250 0.024
12 Te 0.235 0.750 0.417
13 Te 0.402 0.520 0.776
14 Te 0.402 0.980 0.776
15 Te 0.598 0.020 0.224
16 Te 0.598 0.480 0.224
17 Te 0.765 0.250 0.583
18 Te 0.974 0.750 0.976

ρ (g/cm³): 5.33
Calculated volume (A^3/atom): 28.8


Result of the stability comparison: <P> is the least stable of them.


<P>
LaLuCu | PBE-GGA | optimized geometry

a b c (Å): 4.925 4.925 4.925
angles (deg): 60.00 60.00 60.00
Sites, in units of the cell vectors:
1 La 0.000 0.000 0.000
2 Lu 0.500 0.500 0.500
3 Cu 0.250 0.250 0.250

ρ (g/cm³): 7.42
Calculated volume (A^3/atom): 28.2


<Q>
LaLuCu | PBE-GGA | optimized geometry

a b c (Å): 4.912 4.912 4.912
angles (deg): 60.00 60.00 60.00
Sites, in units of the cell vectors:
1 La 0.000 0.000 0.000
2 Lu 0.250 0.250 0.250
3 Cu 0.750 0.750 0.750

ρ (g/cm³): 7.48
Calculated volume (A^3/atom): 27.9


Result of the stability comparison: <Q> is the least stable of them.


<P>
LaCuMoOs | PBE-GGA | optimized geometry

a b c (Å): 4.590 4.590 4.590
angles (deg): 60.00 60.00 60.00
Sites, in units of the cell vectors:
1 La 0.000 0.000 0.000
2 Cu 0.500 0.500 0.500
3 Mo 0.250 0.250 0.250
4 Os 0.750 0.750 0.750

ρ (g/cm³): 11.87
Calculated volume (A^3/atom): 17.1


<Q>
LaCuMoOs | PBE-GGA | optimized geometry

a b c (Å): 4.625 4.625 4.625
angles (deg): 60.00 60.00 60.00
Sites, in units of the cell vectors:
1 La 0.000 0.000 0.000
2 Cu 0.250 0.250 0.250
3 Mo 0.750 0.750 0.750
4 Os 0.500 0.500 0.500

ρ (g/cm³): 11.60
Calculated volume (A^3/atom): 17.5


Result of the stability comparison: <P> is the least stable of them.